Entry 1:
Pr3Tl4In2: optimized geometry, PBE.

## Properties
The space-group type is P-62m.

Lattice parameters (Å, degrees): 4.576 8.186 8.186 120.00 90.00 90.00
Positions (direct):
Tl 0.000 0.730 0.000
In 0.000 0.667 0.333
Tl 0.500 0.000 0.000
Pr 0.500 0.000 0.392
Pr 0.500 0.392 0.000
Pr 0.500 0.608 0.608
Tl 0.000 0.270 0.270
Tl 0.000 0.000 0.730
In 0.000 0.333 0.667


Entry 2:
Pr2Tl3In3: optimized geometry, PBE.

## Properties
The space-group type is Pmmm.

Lattice parameters (Å, degrees): 4.789 4.793 9.641 90.00 90.00 90.00
Positions (direct):
In 0.000 0.500 0.000
Pr 0.000 0.000 0.252
Tl 0.500 0.500 0.746
In 0.000 0.500 0.500
Tl 0.500 0.500 0.254
Tl 0.500 0.000 0.000
Pr 0.000 0.000 0.748
In 0.500 0.000 0.500


Entry 3:
Pr4TlIn: optimized geometry, PBE.

## Properties
The space-group type is C2/m.

Lattice parameters (Å, degrees): 4.626 6.149 8.115 105.18 73.44 67.90
Positions (direct):
Pr 0.829 0.517 0.825
Pr 0.675 0.979 0.672
In 0.500 0.500 0.500
Pr 0.325 0.021 0.328
Tl 0.000 0.000 0.000
Pr 0.171 0.483 0.175


Entry 4:
Pr12Tl2In5: optimized geometry, PBE.

## Properties
The space-group type is C2/m.

Lattice parameters (Å, degrees): 8.187 9.302 9.360 83.83 90.00 116.11
Positions (direct):
Tl 0.682 0.000 0.000
Pr 0.951 0.902 0.182
Pr 0.530 0.060 0.311
In 0.749 0.499 0.286
In 0.342 0.683 0.171
Pr 0.049 0.098 0.818
Pr 0.112 0.710 0.460
In 0.000 0.000 0.500
Tl 0.318 0.000 0.000
Pr 0.043 0.657 0.878
Pr 0.957 0.343 0.122
Pr 0.598 0.710 0.460
Pr 0.615 0.657 0.878
Pr 0.888 0.290 0.540
Pr 0.470 0.940 0.689
In 0.658 0.317 0.829
Pr 0.385 0.343 0.122
In 0.251 0.501 0.714
Pr 0.402 0.290 0.540


| no. | ΔH_f (0 K) (kJ/mol of formula units) |
| --- | --- |
| 1 | -262 |
| 2 | -303 |
| 3 | -157 |
| 4 | -289 |